## RbBe2TeO6 (PBE)

Data for RbBe2TeO6 after structural relaxation.

Unit cell a=6.400 b=6.400 c=6.271 alpha=90.08 beta=90.08 gamma=103.66
Element x y z (fractional)
Rb 0.073 0.927 0.750
Rb 0.927 0.073 0.250
Be 0.226 0.477 0.750
Be 0.477 0.226 0.250
Be 0.523 0.774 0.750
Be 0.774 0.523 0.250
Te 0.331 0.669 0.250
Te 0.669 0.331 0.750
O 0.025 0.637 0.250
O 0.295 0.362 0.249
O 0.331 0.669 0.565
O 0.331 0.669 0.935
O 0.362 0.295 0.749
O 0.363 0.975 0.250
O 0.637 0.025 0.750
O 0.638 0.705 0.251
O 0.669 0.331 0.065
O 0.669 0.331 0.435
O 0.705 0.638 0.751
O 0.975 0.363 0.750

## Properties
Calculated volume   12.5 Å³ per atom
Total energy   -5.752 eV/atom
Crystal system   monoclinic
Energy relative to the elements, uncorrected   -1.62 eV/atom